No. 1
## Y2HF (PBE)

Data for a relaxed structure of Y2HF.

Cell lengths 4.6042, 4.6042, 4.6042 Å; angles 60.00, 60.00, 60.00 degrees
Sites, in units of the cell vectors:
Y: 0.2500 0.2500 0.2500
Y: 0.7500 0.7500 0.7500
H: 0.0000 0.0000 0.0000
F: 0.5000 0.5000 0.5000

Properties
- Fermi-level density of states: 0.865 states/eV/atom
- Total moment: 0.00 Bohr magnetons per cell
- Calculated total energy: -20.66 eV/cell
- Offset from the most stable computed form: 0.7499 eV per atom



No. 2
## YHF (PBE)

Data for a relaxed structure of YHF.

Cell lengths 3.6499, 3.7057, 5.7103 Å; angles 90.00, 90.00, 90.00 degrees
Sites, in units of the cell vectors:
Y: 0.0000 0.0000 0.1534
Y: 0.5000 0.5000 0.5982
H: 0.5000 0.0000 0.3961
H: 0.5000 0.5000 0.2181
F: 0.5000 0.0000 0.8762
F: 0.0000 0.5000 0.8799

Properties
- Fermi-level density of states: 0.209 states/eV/atom
- Total moment: 0.00 Bohr magnetons per cell
- Calculated total energy: -35.65 eV/cell
- Offset from the most stable computed form: 0.0782 eV per atom



No. 3
## YHF3 (PBE)

Data for a relaxed structure of YHF3.

Cell lengths 3.6543, 3.6543, 3.6543 Å; angles 90.00, 90.00, 90.00 degrees
Sites, in units of the cell vectors:
Y: 0.5000 0.5000 0.5000
H: 0.0000 0.0000 0.0000
F: 0.0000 0.5000 0.0000
F: 0.0000 0.0000 0.5000
F: 0.5000 0.0000 0.0000

Properties
- Fermi-level density of states: 0.267 states/eV/atom
- Total moment: 0.47 Bohr magnetons per cell
- Calculated total energy: -26.21 eV/cell
- Offset from the most stable computed form: 0.6763 eV per atom



No. 4
## YHF (PBE)

Data for a relaxed structure of YHF.

Cell lengths 3.7278, 3.7278, 19.2329 Å; angles 90.00, 90.00, 120.00 degrees
Sites, in units of the cell vectors:
Y: 0.0000 0.0000 0.7386
Y: 0.0000 0.0000 0.2614
Y: 0.3333 0.6667 0.4053
Y: 0.3333 0.6667 0.9281
Y: 0.6667 0.3333 0.0719
Y: 0.6667 0.3333 0.5947
H: 0.0000 0.0000 0.3766
H: 0.0000 0.0000 0.6234
H: 0.3333 0.6667 0.0432
H: 0.3333 0.6667 0.2901
H: 0.6667 0.3333 0.7099
H: 0.6667 0.3333 0.9568
F: 0.0000 0.0000 0.8706
F: 0.0000 0.0000 0.1294
F: 0.3333 0.6667 0.5372
F: 0.3333 0.6667 0.7961
F: 0.6667 0.3333 0.2039
F: 0.6667 0.3333 0.4628

Properties
- Fermi-level density of states: 0.064 states/eV/atom
- Total moment: 0.00 Bohr magnetons per cell
- Calculated total energy: -108.35 eV/cell
- Offset from the most stable computed form: 0.0006 eV per atom